First-principles (PBE with a Hubbard U) data for an optimized crystal structure of K2GaCoO4, as listed in Alexandria via LeMat-Bulk.

Computed properties:
spin magnetization	32.50	μB/cell
DFT total energy	-5.1407	eV per atom

CIF file:
```
data_K2GaCoO4
_chemical_formula_sum 'K16 Ga8 Co8 O32'
_cell_length_a 5.082
_cell_length_b 11.957
_cell_length_c 19.640
_cell_angle_alpha 90.00
_cell_angle_beta 90.00
_cell_angle_gamma 90.00
_symmetry_space_group_name_H-M 'F d d d'
_symmetry_Int_Tables_number 70
loop_
_symmetry_equiv_pos_as_xyz
'x,y,z'
'-x,-y,-z'
'-x+1/4,-y+1/4,z'
'x+1/4,y+1/4,-z'
'x,-y+1/4,-z+1/4'
'-x,y+1/4,z+1/4'
'-x+1/4,y,-z+1/4'
'x+1/4,-y,z+1/4'
'x,y+1/2,z+1/2'
'-x,-y+1/2,-z+1/2'
'-x+1/4,-y+3/4,z+1/2'
'x+1/4,y+3/4,-z+1/2'
'x,-y+3/4,-z+3/4'
'-x,y+3/4,z+3/4'
'-x+1/4,y+1/2,-z+3/4'
'x+1/4,-y+1/2,z+3/4'
'x+1/2,y,z+1/2'
'-x+1/2,-y,-z+1/2'
'-x+3/4,-y+1/4,z+1/2'
'x+3/4,y+1/4,-z+1/2'
'x+1/2,-y+1/4,-z+3/4'
'-x+1/2,y+1/4,z+3/4'
'-x+3/4,y,-z+3/4'
'x+3/4,-y,z+3/4'
'x+1/2,y+1/2,z'
'-x+1/2,-y+1/2,-z'
'-x+3/4,-y+3/4,z'
'x+3/4,y+3/4,-z'
'x+1/2,-y+3/4,-z+1/4'
'-x+1/2,y+3/4,z+1/4'
'-x+3/4,y+1/2,-z+1/4'
'x+3/4,-y+1/2,z+1/4'
loop_
_atom_site_label
_atom_site_type_symbol
_atom_site_fract_x
_atom_site_fract_y
_atom_site_fract_z
_atom_site_occupancy
K1 K 0.125 0.125 0.303 1
Ga1 Ga 0.125 0.125 0.125 1
Co1 Co 0.125 0.125 0.625 1
O1 O 0.123 0.285 0.420 1
```